[1]
The following is a GGA-PBE calculation of a relaxed structure of BaOsSCl2, from Alexandria.

## Properties
The energy above the lowest structure with this stoichiometry is 0.000 eV/atom. The calculation puts the final energy at -0.3640 Ry per atom. The calculation puts the formation energy without anion corrections at -757.6 meV/atom. The space-group type is No. 123.

abc: 5.0745 5.0745 4.5641
angles: 90.00 90.00 90.00
With the nearest neighbours (Å) after each atom.
Atoms (fractional coordinates):
Ba  0.0000  0.0000  0.0000  8 Cl 3.41, 4 S 3.59
Os  0.5000  0.5000  0.5000  2 S 2.28, 4 Cl 2.54
S  0.5000  0.5000  0.0000  2 Os 2.28
Cl  0.0000  0.5000  0.5000  2 Os 2.54
Cl  0.5000  0.0000  0.5000  2 Os 2.54


[2]
The following is a GGA-PBE calculation of a relaxed structure of Ac2HPt6Au, from Alexandria.

## Properties
The calculation puts the final energy at -0.4245 Ry per atom. The space-group type is No. 12.

abc: 5.8206 5.8206 7.3491
angles: 113.25 113.25 60.01
With the nearest neighbours (Å) after each atom.
Atoms (fractional coordinates):
Ac  0.2216  0.2216  0.1652  6 Pt 3.10
Ac  0.7784  0.7784  0.8348  6 Pt 3.10
H  0.0000  0.0000  0.5000  6 Pt 2.04-2.05
Pt  0.2270  0.2270  0.6711  1 H 2.05
Pt  0.2268  0.7176  0.6709  1 H 2.04
Pt  0.2824  0.7732  0.3291  1 H 2.04
Pt  0.7176  0.2268  0.6709  1 H 2.04
Pt  0.7732  0.2824  0.3291  1 H 2.04
Pt  0.7730  0.7730  0.3289  1 H 2.05
Au  0.5000  0.5000  0.0000  6 Pt 2.71


[3]
The following is a GGA-PBE calculation of a relaxed structure of KTlSiAg2, from Alexandria.

## Properties
The calculation puts the final energy at -0.2058 Ry per atom. The calculation puts the formation energy without anion corrections at 118.4 meV/atom. The space-group type is No. 123.

abc: 4.9731 4.9731 5.6233
angles: 90.00 90.00 90.00
With the nearest neighbours (Å) after each atom.
Atoms (fractional coordinates):
K  0.0000  0.0000  0.0000  4 Tl 3.52, 8 Ag 3.75
Tl  0.5000  0.5000  0.0000  2 Si 2.81
Si  0.5000  0.5000  0.5000  4 Ag 2.49
Ag  0.0000  0.5000  0.5000  2 Si 2.49
Ag  0.5000  0.0000  0.5000  2 Si 2.49


[4]
The following is a GGA-PBE calculation of a relaxed structure of Tl2InCl4, from Alexandria.

## Properties
The energy above the lowest structure with this stoichiometry is 0.030 eV/atom. The calculation puts the final energy at -0.2244 Ry per atom. The calculation puts the formation energy without anion corrections at -930.2 meV/atom. The space-group type is No. 12.

abc: 6.9229 6.9229 8.7058
angles: 115.86 115.86 36.57
With the nearest neighbours (Å) after each atom.
Atoms (fractional coordinates):
Tl  0.1488  0.1488  0.1868  7 Cl 3.25-3.48
Tl  0.8512  0.8512  0.8132  7 Cl 3.25-3.48
In  0.5000  0.5000  0.5000  6 Cl 2.72-2.83
Cl  0.1526  0.1526  0.5687  2 In 2.83
Cl  0.4589  0.4589  0.1643  1 In 2.72
Cl  0.5411  0.5411  0.8357  1 In 2.72
Cl  0.8474  0.8474  0.4313  2 In 2.83


[5]
The following is a GGA-PBE calculation of a relaxed structure of TlCu2Ag, from Alexandria.

## Properties
The energy above the lowest structure with this stoichiometry is 0.166 eV/atom. The calculation puts the energy of formation at 1.42 eV per formula unit. The calculation puts the final energy at -0.2204 Ry per atom. The space-group type is No. 166.

abc: 8.1495 8.1495 8.1495
angles: 23.00 23.00 23.00
With the nearest neighbours (Å) after each atom.
Atoms (fractional coordinates):
Tl  0.0000  0.0000  0.0000  6 Cu 2.79
Cu  0.2464  0.2464  0.2464  3 Ag 2.67, 3 Tl 2.79
Cu  0.7536  0.7536  0.7536  3 Ag 2.67, 3 Tl 2.79
Ag  0.5000  0.5000  0.5000  6 Cu 2.67


[6]
The following is a GGA-PBE calculation of a relaxed structure of In3SnAs, from Alexandria.

## Properties
The energy above the lowest structure with this stoichiometry is 0.000 eV/atom. The calculation puts the energy of formation at 1.66 eV per formula unit. The calculation puts the final energy at -0.2235 Ry per atom. The space-group type is No. 221.

abc: 5.3738 5.3738 5.3738
angles: 90.00 90.00 90.00
With the nearest neighbours (Å) after each atom.
Atoms (fractional coordinates):
In  0.0000  0.0000  0.5000  2 As 2.69
In  0.0000  0.5000  0.0000  2 As 2.69
In  0.5000  0.0000  0.0000  2 As 2.69
Sn  0.5000  0.5000  0.5000  12 In 3.80
As  0.0000  0.0000  0.0000  6 In 2.69


Please write out number 3 again, unchanged.
The following is a GGA-PBE calculation of a relaxed structure of KTlSiAg2, from Alexandria.

## Properties
The calculation puts the final energy at -0.2058 Ry per atom. The calculation puts the formation energy without anion corrections at 118.4 meV/atom. The space-group type is No. 123.

abc: 4.9731 4.9731 5.6233
angles: 90.00 90.00 90.00
With the nearest neighbours (Å) after each atom.
Atoms (fractional coordinates):
K  0.0000  0.0000  0.0000  4 Tl 3.52, 8 Ag 3.75
Tl  0.5000  0.5000  0.0000  2 Si 2.81
Si  0.5000  0.5000  0.5000  4 Ag 2.49
Ag  0.0000  0.5000  0.5000  2 Si 2.49
Ag  0.5000  0.0000  0.5000  2 Si 2.49


Question: Which value of final energy does entry 1 give?
Answer: -0.3640 Ry per atom


Question: The lowest final energy belongs to which entry?
Answer: Ac2HPt6Au